Here is crystalline LaRe2Pb at its relaxed geometry from Alexandria via LeMat-Bulk. Energies are from GGA-PBE.

extended XYZ file:
```
4
Lattice="-4.4300 -8.9847 0.6562 -1.5376 -9.8180 1.4227 -3.4620 -8.7105 3.5948" Properties=species:S:1:pos:R:3 pbc="T T T"
La -2.3574 -6.8783 1.4184
Re -4.6430 -13.5470 2.7936
Re -0.0718 -0.2095 0.0432
Pb -7.0723 -20.6349 4.2552
```

Computed properties:
Energy of formation, eV/f.u.: 4.7
Calculated density, Mg/m³: 14.46
Calculated volume, Å³/cell: 82.5